1.
# Ca2TiFeO5 (PBE+U, relaxed)
data_Ca2TiFeO5
_cell_length_a 6.703
_cell_length_b 6.703
_cell_length_c 10.863
_cell_angle_alpha 90.00
_cell_angle_beta 90.00
_cell_angle_gamma 152.56
_symmetry_space_group_name_H-M 'P 1'
_symmetry_Int_Tables_number 1
loop_
_symmetry_equiv_pos_as_xyz
'x,y,z'
loop_
_atom_site_label
_atom_site_type_symbol
_atom_site_fract_x
_atom_site_fract_y
_atom_site_fract_z
_atom_site_occupancy
Ca1 Ca 0.083 0.917 0.500 1
Ca2 Ca 0.141 0.859 0.121 1
Ca3 Ca 0.859 0.141 0.621 1
Ca4 Ca 0.917 0.083 0.000 1
Ti1 Ti 0.230 0.770 0.859 1
Ti2 Ti 0.770 0.230 0.359 1
Fe1 Fe 0.459 0.541 0.286 1
Fe2 Fe 0.541 0.459 0.786 1
O1 O 0.079 0.921 0.896 1
O2 O 0.262 0.738 0.491 1
O3 O 0.288 0.712 0.249 1
O4 O 0.374 0.626 0.843 1
O5 O 0.494 0.506 0.616 1
O6 O 0.506 0.494 0.116 1
O7 O 0.626 0.374 0.343 1
O8 O 0.712 0.288 0.749 1
O9 O 0.738 0.262 0.991 1
O10 O 0.921 0.079 0.396 1
# * final energy: -7.328 eV/atom

=====

2.
# BiMoNF2 (PBE+U, relaxed)
data_BiMoNF2
_cell_length_a 4.502
_cell_length_b 4.502
_cell_length_c 4.653
_cell_angle_alpha 90.00
_cell_angle_beta 90.00
_cell_angle_gamma 90.00
_symmetry_space_group_name_H-M 'P 1'
_symmetry_Int_Tables_number 1
loop_
_symmetry_equiv_pos_as_xyz
'x,y,z'
loop_
_atom_site_label
_atom_site_type_symbol
_atom_site_fract_x
_atom_site_fract_y
_atom_site_fract_z
_atom_site_occupancy
Bi1 Bi 0.000 0.000 0.000 1
Mo1 Mo 0.500 0.500 0.500 1
N1 N 0.000 0.000 0.500 1
F1 F 0.000 0.500 0.000 1
F2 F 0.500 0.000 0.000 1
# * ΔE to the lowest computed polymorph: 2.42 eV per formula unit